Record 1
Material: Cd2FeAu
Method: DFT, PBE-GGA
State: relaxed

Cell lengths 2.9446, 4.5812, 5.4601 Å; angles 90.00, 98.48, 90.00 degrees
Space group Pm (No. 6)
One atom of each set of equivalent atoms:
Cd: 0.0000 0.0000 0.0000 x1
Cd: 0.1958 0.5000 0.6828 x1
Fe: 0.6161 0.5000 0.1973 x1
Au: 0.6117 0.0000 0.4651 x1

Results
Its total energy is -3.22 eV/atom. For the calculated density, the calculation gives 10.887 g/cm³. As for the energy of formation from the pure elements: 0.17 eV/atom. The calculation puts the excess energy over the best structure of this formula in the dataset at 63 meV per atom.

Record 2
Material: Cd2FeAu
Method: DFT, PBE-GGA
State: relaxed

Cell lengths 3.0445, 4.9180, 9.6555 Å; angles 90.00, 90.00, 90.00 degrees
Space group Immm (No. 71)
One atom of each set of equivalent atoms:
Cd: 0.0000 0.0000 0.2420 x4
Fe: 0.0000 0.5000 0.5000 x2
Au: 0.0000 0.5000 0.0000 x2

Results
Its total energy is -3.19 eV/atom. For the calculated density, the calculation gives 10.972 g/cm³. As for the energy of formation from the pure elements: 0.20 eV/atom. The calculation puts the excess energy over the best structure of this formula in the dataset at 93 meV per atom.

Record 3
Material: Cd2FeAu
Method: DFT, PBE-GGA
State: relaxed

Cell lengths 5.9452, 8.1763, 2.9675 Å; angles 90.00, 90.00, 90.00 degrees
Space group Cmmm (No. 65)
One atom of each set of equivalent atoms:
Cd: 0.2500 0.2500 0.0000 x4
Fe: 0.0000 0.0000 0.5000 x2
Au: 0.0000 0.5000 0.5000 x2

Results
Its total energy is -3.21 eV/atom. For the calculated density, the calculation gives 10.997 g/cm³. As for the energy of formation from the pure elements: 0.18 eV/atom. The calculation puts the excess energy over the best structure of this formula in the dataset at 74 meV per atom.

Record 4
Material: CdFe3Au
Method: DFT, PBE-GGA
State: relaxed

Cell lengths 4.7734, 4.7734, 4.7734 Å; angles 90.00, 90.00, 90.00 degrees
Space group Pm-3m (No. 221)
One atom of each set of equivalent atoms:
Cd: 0.0000 0.0000 0.0000 x1
Fe: 0.0000 0.5000 0.5000 x3
Au: 0.5000 0.5000 0.5000 x1

Results
Its total energy is -4.72 eV/atom. For the calculated density, the calculation gives 7.281 g/cm³. As for the energy of formation from the pure elements: 1.20 eV/atom. The calculation puts the excess energy over the best structure of this formula in the dataset at 0 meV per atom.

Record 5
Material: Cd2FeAu
Method: DFT, PBE-GGA
State: relaxed

Cell lengths 6.6102, 6.6102, 6.6102 Å; angles 90.00, 90.00, 90.00 degrees
Space group Fm-3m (No. 225)
One atom of each set of equivalent atoms:
Cd: 0.2500 0.2500 0.2500 x8
Fe: 0.0000 0.0000 0.0000 x4
Au: 0.0000 0.0000 0.5000 x4

Results
Its total energy is -3.19 eV/atom. For the calculated density, the calculation gives 10.984 g/cm³. As for the energy of formation from the pure elements: 0.20 eV/atom. The calculation puts the excess energy over the best structure of this formula in the dataset at 91 meV per atom.

Record 6
Material: CdFeAu4
Method: DFT, PBE-GGA
State: relaxed

Cell lengths 7.7628, 7.7628, 7.7628 Å; angles 90.00, 90.00, 90.00 degrees
Space group F-43m (No. 216)
One atom of each set of equivalent atoms:
Cd: 0.0000 0.0000 0.0000 x4
Fe: 0.2500 0.2500 0.7500 x4
Au: 0.1249 0.1249 0.3751 x16

Results
Its total energy is -3.48 eV/atom. For the calculated density, the calculation gives 13.576 g/cm³. As for the energy of formation from the pure elements: 0.27 eV/atom.

Record 7
Material: Cd2FeAu
Method: DFT, PBE-GGA
State: relaxed

Cell lengths 2.9669, 2.9669, 28.2845 Å; angles 90.00, 90.00, 120.00 degrees
Space group R-3m (No. 166, hexagonal axes)
One atom of each set of equivalent atoms:
Cd: 0.0000 0.0000 0.2459 x6
Fe: 0.0000 0.0000 0.5000 x3
Au: 0.0000 0.0000 0.0000 x3

Results
Its total energy is -3.22 eV/atom. For the calculated density, the calculation gives 11.035 g/cm³. As for the energy of formation from the pure elements: 0.17 eV/atom. The calculation puts the excess energy over the best structure of this formula in the dataset at 59 meV per atom.

Record 8
Material: Cd2FeAu
Method: DFT, PBE-GGA
State: relaxed

Cell lengths 2.9457, 2.9457, 8.2090 Å; angles 90.00, 90.00, 90.00 degrees
Space group P4/mmm (No. 123)
One atom of each set of equivalent atoms:
Cd: 0.0000 0.0000 0.2351 x2
Fe: 0.5000 0.5000 0.0000 x1
Au: 0.5000 0.5000 0.5000 x1

Results
Its total energy is -3.27 eV/atom. For the calculated density, the calculation gives 11.134 g/cm³. As for the energy of formation from the pure elements: 0.12 eV/atom. The calculation puts the excess energy over the best structure of this formula in the dataset at 10 meV per atom.

Record 9
Material: HfCdFe2Au
Method: DFT, PBE-GGA
State: relaxed

Cell lengths 4.7056, 4.7056, 5.2131 Å; angles 90.00, 90.00, 90.00 degrees
Space group P4/mmm (No. 123)
One atom of each set of equivalent atoms:
Hf: 0.0000 0.0000 0.0000 x1
Cd: 0.0000 0.0000 0.5000 x1
Fe: 0.0000 0.5000 0.5000 x2
Au: 0.5000 0.5000 0.0000 x1

Results
Its total energy is -4.76 eV/atom. For the calculated density, the calculation gives 8.625 g/cm³. As for the energy of formation from the pure elements: 1.46 eV/atom.

Record 10
Material: CdFePdAu2
Method: DFT, PBE-GGA
State: relaxed

Cell lengths 5.0619, 5.0619, 4.9668 Å; angles 90.00, 90.00, 90.00 degrees
Space group P4/mmm (No. 123)
One atom of each set of equivalent atoms:
Cd: 0.0000 0.0000 0.0000 x1
Fe: 0.5000 0.5000 0.0000 x1
Pd: 0.0000 0.0000 0.5000 x1
Au: 0.0000 0.5000 0.5000 x2

Results
Its total energy is -3.26 eV/atom. For the calculated density, the calculation gives 8.724 g/cm³. As for the energy of formation from the pure elements: 0.97 eV/atom.

Record 11
Material: CdFe2RuAu
Method: DFT, PBE-GGA
State: relaxed

Cell lengths 4.5583, 4.5583, 5.1225 Å; angles 90.00, 90.00, 90.00 degrees
Space group P4/mmm (No. 123)
One atom of each set of equivalent atoms:
Cd: 0.0000 0.0000 0.0000 x1
Fe: 0.0000 0.5000 0.5000 x2
Ru: 0.0000 0.0000 0.5000 x1
Au: 0.5000 0.5000 0.0000 x1

Results
Its total energy is -4.91 eV/atom. For the calculated density, the calculation gives 8.146 g/cm³. As for the energy of formation from the pure elements: 1.16 eV/atom.

Record 12
Material: CdFe2SnAu
Method: DFT, PBE-GGA
State: relaxed

Cell lengths 4.8571, 4.8571, 5.0815 Å; angles 90.00, 90.00, 90.00 degrees
Space group P4/mmm (No. 123)
One atom of each set of equivalent atoms:
Cd: 0.0000 0.0000 0.0000 x1
Fe: 0.0000 0.5000 0.0000 x2
Sn: 0.5000 0.5000 0.5000 x1
Au: 0.0000 0.0000 0.5000 x1

Results
Its total energy is -3.86 eV/atom. For the calculated density, the calculation gives 7.477 g/cm³. As for the energy of formation from the pure elements: 1.16 eV/atom.

Record 13
Material: YCd2FeAu
Method: DFT, PBE-GGA
State: relaxed

Cell lengths 5.8107, 5.8107, 4.8776 Å; angles 90.00, 90.00, 90.00 degrees
Space group P4/mmm (No. 123)
One atom of each set of equivalent atoms:
Y: 0.0000 0.0000 0.0000 x1
Cd: 0.0000 0.5000 0.0000 x2
Fe: 0.0000 0.0000 0.5000 x1
Au: 0.5000 0.5000 0.5000 x1

Results
Its total energy is -2.80 eV/atom. For the calculated density, the calculation gives 5.712 g/cm³. As for the energy of formation from the pure elements: 1.20 eV/atom.

Record 14
Material: YCdFe2Au
Method: DFT, PBE-GGA
State: relaxed

Cell lengths 4.8162, 4.8162, 5.0756 Å; angles 90.00, 90.00, 90.00 degrees
Space group P4/mmm (No. 123)
One atom of each set of equivalent atoms:
Y: 0.0000 0.0000 0.0000 x1
Cd: 0.5000 0.5000 0.5000 x1
Fe: 0.0000 0.5000 0.5000 x2
Au: 0.5000 0.5000 0.0000 x1

Results
Its total energy is -4.68 eV/atom. For the calculated density, the calculation gives 7.193 g/cm³. As for the energy of formation from the pure elements: 0.84 eV/atom.

Record 15
Material: ZnCd2FeAu
Method: DFT, PBE-GGA
State: relaxed

Cell lengths 5.2767, 5.2767, 4.9346 Å; angles 90.00, 90.00, 90.00 degrees
Space group P4/mmm (No. 123)
One atom of each set of equivalent atoms:
Zn: 0.0000 0.0000 0.0000 x1
Cd: 0.0000 0.5000 0.5000 x2
Fe: 0.5000 0.5000 0.0000 x1
Au: 0.5000 0.5000 0.5000 x1

Results
Its total energy is -2.31 eV/atom. For the calculated density, the calculation gives 6.563 g/cm³. As for the energy of formation from the pure elements: 0.66 eV/atom.